The following is a DFT calculation (PBE) of a geometry-optimized Na2TaMnS4 structure.

Cell lengths 6.4307, 3.5743, 6.9762 Å; angles 90.00, 107.47, 90.00 degrees
Space group P2/m (No. 10)
Inequivalent atoms, fractional coordinates:
1 Na 0.0000 0.0000 0.0000 [1 per cell]
2 Na 0.5000 0.5000 0.0000 [1 per cell]
3 Ta 0.0000 0.5000 0.5000 [1 per cell]
4 Mn 0.5000 0.0000 0.5000 [1 per cell]
5 S 0.2296 0.0000 0.7174 [2 per cell]
6 S 0.2559 0.5000 0.2933 [2 per cell]

Summary:
ΔE_f (raw): -0.951 eV/atom

---

The following is a DFT calculation (PBE) of a geometry-optimized Na2TbMnS4 structure.

Cell lengths 6.5298, 3.8641, 7.0149 Å; angles 90.00, 108.17, 90.00 degrees
Space group P2/m (No. 10)
Inequivalent atoms, fractional coordinates:
1 Na 0.0000 0.0000 0.0000 [1 per cell]
2 Na 0.5000 0.5000 0.0000 [1 per cell]
3 Tb 0.0000 0.5000 0.5000 [1 per cell]
4 Mn 0.5000 0.0000 0.5000 [1 per cell]
5 S 0.2689 0.0000 0.7166 [2 per cell]
6 S 0.2791 0.5000 0.2848 [2 per cell]

Summary:
ΔE_f (raw): -1.270 eV/atom

---

The following is a DFT calculation (PBE) of a geometry-optimized Na4Tb3MnS8 structure.

Cell lengths 7.8272, 7.8272, 20.0314 Å; angles 90.00, 90.00, 120.00 degrees
Space group R-3m (No. 166, hexagonal axes)
Inequivalent atoms, fractional coordinates:
1 Na 0.0000 0.0000 0.0000 [3 per cell]
2 Na 0.0000 0.5000 0.0000 [9 per cell]
3 Tb 0.0000 0.5000 0.5000 [9 per cell]
4 Mn 0.0000 0.0000 0.5000 [3 per cell]
5 S 0.0000 0.0000 0.2435 [6 per cell]
6 S 0.0205 0.5102 0.2398 [18 per cell]

Summary:
ΔE_f (raw): -1.543 eV/atom

---

The following is a DFT calculation (PBE) of a geometry-optimized Na3Tb3MnS8 structure.

Cell lengths 7.7844, 7.7844, 20.2401 Å; angles 90.00, 90.00, 120.00 degrees
Space group R-3m (No. 166, hexagonal axes)
Inequivalent atoms, fractional coordinates:
1 Na 0.0000 0.5000 0.0000 [9 per cell]
2 Tb 0.0000 0.5000 0.5000 [9 per cell]
3 Mn 0.0000 0.0000 0.5000 [3 per cell]
4 S 0.0000 0.0000 0.2431 [6 per cell]
5 S 0.0369 0.5184 0.2359 [18 per cell]

Summary:
ΔE_f (raw): -1.520 eV/atom

---

The following is a DFT calculation (PBE) of a geometry-optimized Na3Mn3TcS8 structure.

Cell lengths 6.9003, 6.9003, 19.9790 Å; angles 90.00, 90.00, 120.00 degrees
Space group R-3m (No. 166, hexagonal axes)
Inequivalent atoms, fractional coordinates:
1 Na 0.0000 0.5000 0.0000 [9 per cell]
2 Mn 0.0000 0.5000 0.5000 [9 per cell]
3 Tc 0.0000 0.0000 0.5000 [3 per cell]
4 S 0.0000 0.0000 0.2309 [6 per cell]
5 S 0.0095 0.5048 0.7675 [18 per cell]

Summary:
ΔE_f (raw): -0.702 eV/atom

---

The following is a DFT calculation (PBE) of a geometry-optimized Na2Mn2Te2S structure.

Cell lengths 4.7457, 4.7457, 15.9084 Å; angles 90.00, 90.00, 90.00 degrees
Space group I4/mmm (No. 139)
Inequivalent atoms, fractional coordinates:
1 Na 0.0000 0.0000 0.1770 [4 per cell]
2 Mn 0.0000 0.5000 0.0000 [4 per cell]
3 Te 0.0000 0.0000 0.3750 [4 per cell]
4 S 0.0000 0.0000 0.0000 [2 per cell]

Summary:
ΔE_f (raw): -0.518 eV/atom

---

The following is a DFT calculation (PBE) of a geometry-optimized Na3Th3MnS8 structure.

Cell lengths 8.0419, 8.0419, 20.3189 Å; angles 90.00, 90.00, 120.00 degrees
Space group R-3m (No. 166, hexagonal axes)
Inequivalent atoms, fractional coordinates:
1 Na 0.0000 0.5000 0.0000 [9 per cell]
2 Th 0.0000 0.5000 0.5000 [9 per cell]
3 Mn 0.0000 0.0000 0.5000 [3 per cell]
4 S 0.0000 0.0000 0.2480 [6 per cell]
5 S 0.0135 0.5068 0.2393 [18 per cell]

Summary:
ΔE_f (raw): -1.507 eV/atom

---

The following is a DFT calculation (PBE) of a geometry-optimized Na2ThMnS4 structure.

Cell lengths 6.7005, 4.0303, 7.0860 Å; angles 90.00, 108.96, 90.00 degrees
Space group P2/m (No. 10)
Inequivalent atoms, fractional coordinates:
1 Na 0.0000 0.0000 0.0000 [1 per cell]
2 Na 0.5000 0.5000 0.0000 [1 per cell]
3 Th 0.0000 0.5000 0.5000 [1 per cell]
4 Mn 0.5000 0.0000 0.5000 [1 per cell]
5 S 0.2505 0.0000 0.7320 [2 per cell]
6 S 0.2741 0.5000 0.2837 [2 per cell]

Summary:
ΔE_f (raw): -1.333 eV/atom

---

The following is a DFT calculation (PBE) of a geometry-optimized Na2Ti3MnS8 structure.

Cell lengths 6.9612, 6.9612, 21.6864 Å; angles 90.00, 90.00, 120.00 degrees
Space group R3m (No. 160, hexagonal axes)
Inequivalent atoms, fractional coordinates:
1 Na 0.0000 0.0000 0.0000 [3 per cell]
2 Na 0.0000 0.0000 0.3486 [3 per cell]
3 Ti 0.1705 0.3411 0.1831 [9 per cell]
4 Mn 0.0000 0.0000 0.8469 [3 per cell]
5 S 0.0000 0.0000 0.1211 [3 per cell]
6 S 0.0000 0.0000 0.5824 [3 per cell]
7 S 0.0021 0.5011 0.1177 [9 per cell]
8 S 0.1676 0.3351 0.9137 [9 per cell]

Summary:
ΔE_f (raw): -1.189 eV/atom

---

The following is a DFT calculation (PBE) of a geometry-optimized Na3TiMn2S6 structure.

Cell lengths 6.2570, 11.0345, 6.8749 Å; angles 90.00, 107.33, 90.00 degrees
Space group C2/m (No. 12)
Inequivalent atoms, fractional coordinates:
1 Na 0.0000 0.0000 0.0000 [2 per cell]
2 Na 0.0000 0.3307 0.0000 [4 per cell]
3 Ti 0.0000 0.5000 0.5000 [2 per cell]
4 Mn 0.0000 0.1649 0.5000 [4 per cell]
5 S 0.2364 0.3363 0.7041 [8 per cell]
6 S 0.2446 0.0000 0.7082 [4 per cell]

Summary:
ΔE_f (raw): -0.997 eV/atom

---

The following is a DFT calculation (PBE) of a geometry-optimized Na3Ti2MnS6 structure.

Cell lengths 6.2604, 10.8574, 6.9439 Å; angles 90.00, 107.54, 90.00 degrees
Space group C2/m (No. 12)
Inequivalent atoms, fractional coordinates:
1 Na 0.0000 0.0000 0.0000 [2 per cell]
2 Na 0.0000 0.3365 0.0000 [4 per cell]
3 Ti 0.0000 0.1678 0.5000 [4 per cell]
4 Mn 0.0000 0.5000 0.5000 [2 per cell]
5 S 0.2271 0.0000 0.7089 [4 per cell]
6 S 0.2414 0.3287 0.7099 [8 per cell]

Summary:
ΔE_f (raw): -1.184 eV/atom

---

The following is a DFT calculation (PBE) of a geometry-optimized NaTi3Mn2S8 structure.

Cell lengths 7.2382, 7.2382, 18.5929 Å; angles 90.00, 90.00, 120.00 degrees
Space group R3m (No. 160, hexagonal axes)
Inequivalent atoms, fractional coordinates:
1 Na 0.0000 0.0000 0.0000 [3 per cell]
2 Ti 0.1699 0.3398 0.4620 [9 per cell]
3 Mn 0.0000 0.0000 0.2547 [3 per cell]
4 Mn 0.0000 0.0000 0.6336 [3 per cell]
5 S 0.0000 0.0000 0.3867 [3 per cell]
6 S 0.0000 0.0000 0.8655 [3 per cell]
7 S 0.0358 0.5179 0.3877 [9 per cell]
8 S 0.1788 0.3575 0.2095 [9 per cell]

Summary:
ΔE_f (raw): -1.044 eV/atom

---

The following is a DFT calculation (PBE) of a geometry-optimized Na2Ti2MnS6 structure.

Cell lengths 5.9467, 10.2794, 7.1855 Å; angles 90.00, 106.45, 90.00 degrees
Space group C2/m (No. 12)
Inequivalent atoms, fractional coordinates:
1 Na 0.0000 0.1692 0.0000 [4 per cell]
2 Ti 0.0000 0.3326 0.5000 [4 per cell]
3 Mn 0.0000 0.0000 0.5000 [2 per cell]
4 S 0.2313 0.1600 0.7034 [8 per cell]
5 S 0.2476 0.5000 0.7026 [4 per cell]

Summary:
ΔE_f (raw): -1.153 eV/atom

---

The following is a DFT calculation (PBE) of a geometry-optimized Na3Ti3MnS8 structure.

Cell lengths 7.0666, 7.0666, 20.2637 Å; angles 90.00, 90.00, 120.00 degrees
Space group R-3m (No. 166, hexagonal axes)
Inequivalent atoms, fractional coordinates:
1 Na 0.0000 0.5000 0.0000 [9 per cell]
2 Ti 0.0000 0.5000 0.5000 [9 per cell]
3 Mn 0.0000 0.0000 0.5000 [3 per cell]
4 S 0.0000 0.0000 0.2371 [6 per cell]
5 S 0.0015 0.5007 0.7654 [18 per cell]

Summary:
ΔE_f (raw): -1.219 eV/atom

---

The following is a DFT calculation (PBE) of a geometry-optimized Na4TiMn3S8 structure.

Cell lengths 7.2709, 7.2709, 19.6918 Å; angles 90.00, 90.00, 120.00 degrees
Space group R-3m (No. 166, hexagonal axes)
Inequivalent atoms, fractional coordinates:
1 Na 0.0000 0.0000 0.0000 [3 per cell]
2 Na 0.0000 0.5000 0.0000 [9 per cell]
3 Ti 0.0000 0.0000 0.5000 [3 per cell]
4 Mn 0.0000 0.5000 0.5000 [9 per cell]
5 S 0.0000 0.0000 0.2334 [6 per cell]
6 S 0.0046 0.5023 0.2351 [18 per cell]

Summary:
ΔE_f (raw): -0.950 eV/atom

---

The following is a DFT calculation (PBE) of a geometry-optimized Na4UMn3S8 structure.

Cell lengths 7.4953, 7.4953, 19.8917 Å; angles 90.00, 90.00, 120.00 degrees
Space group R-3m (No. 166, hexagonal axes)
Inequivalent atoms, fractional coordinates:
1 Na 0.0000 0.0000 0.0000 [3 per cell]
2 Na 0.0000 0.5000 0.0000 [9 per cell]
3 U 0.0000 0.0000 0.5000 [3 per cell]
4 Mn 0.0000 0.5000 0.5000 [9 per cell]
5 S 0.0000 0.0000 0.2314 [6 per cell]
6 S 0.0046 0.5023 0.7606 [18 per cell]

Summary:
ΔE_f (raw): -0.996 eV/atom

---

The following is a DFT calculation (PBE) of a geometry-optimized Na2UMnS4 structure.

Cell lengths 6.6146, 3.8981, 7.0378 Å; angles 90.00, 108.51, 90.00 degrees
Space group P2/m (No. 10)
Inequivalent atoms, fractional coordinates:
1 Na 0.0000 0.0000 0.0000 [1 per cell]
2 Na 0.5000 0.5000 0.0000 [1 per cell]
3 U 0.0000 0.5000 0.5000 [1 per cell]
4 Mn 0.5000 0.0000 0.5000 [1 per cell]
5 S 0.2489 0.0000 0.7273 [2 per cell]
6 S 0.2691 0.5000 0.2864 [2 per cell]

Summary:
ΔE_f (raw): -1.142 eV/atom

---

The following is a DFT calculation (PBE) of a geometry-optimized NaUMn4S8 structure.

Cell lengths 7.4416, 7.4416, 18.6889 Å; angles 90.00, 90.00, 120.00 degrees
Space group R3m (No. 160, hexagonal axes)
Inequivalent atoms, fractional coordinates:
1 Na 0.0000 0.0000 0.0000 [3 per cell]
2 U 0.0000 0.0000 0.6351 [3 per cell]
3 Mn 0.0000 0.0000 0.2663 [3 per cell]
4 Mn 0.1706 0.3412 0.4662 [9 per cell]
5 S 0.0000 0.0000 0.3974 [3 per cell]
6 S 0.0000 0.0000 0.8640 [3 per cell]
7 S 0.0287 0.5143 0.3931 [9 per cell]
8 S 0.1715 0.3430 0.2119 [9 per cell]

Summary:
ΔE_f (raw): -0.761 eV/atom

---

The following is a DFT calculation (PBE) of a geometry-optimized NaUMnS4 structure.

Cell lengths 7.7502, 8.3558, 10.1952 Å; angles 90.00, 90.00, 90.00 degrees
Space group Imma (No. 74)
Inequivalent atoms, fractional coordinates:
1 Na 0.0000 0.2500 0.1590 [4 per cell]
2 U 0.0000 0.0000 0.5000 [4 per cell]
3 Mn 0.2500 0.2500 0.7500 [4 per cell]
4 S 0.0000 0.0522 0.7509 [8 per cell]
5 S 0.2170 0.2500 0.4968 [8 per cell]

Summary:
ΔE_f (raw): -1.064 eV/atom

---

The following is a DFT calculation (PBE) of a geometry-optimized Na2U2MnS6 structure.

Cell lengths 6.7123, 11.6822, 7.0899 Å; angles 90.00, 107.71, 90.00 degrees
Space group C2/m (No. 12)
Inequivalent atoms, fractional coordinates:
1 Na 0.0000 0.1646 0.0000 [4 per cell]
2 U 0.0000 0.3356 0.5000 [4 per cell]
3 Mn 0.0000 0.0000 0.5000 [2 per cell]
4 S 0.2334 0.1665 0.7172 [8 per cell]
5 S 0.2454 0.0000 0.2863 [4 per cell]

Summary:
ΔE_f (raw): -1.206 eV/atom